Record 1
DFT (GGA-PBE) results for an optimized crystal structure of ZnAg4Cl.

* calculated volume: 20.54 Å³/atom

a b c (Å): 7.900 7.900 7.900
angles (deg): 90.00 90.00 90.00
Space group F-43m (No. 216)
One atom of each set of equivalent atoms:
Zn 0.000 0.000 0.000 x4
Ag 0.125 0.125 0.625 x16
Cl 0.250 0.250 0.250 x4

=====

Record 2
DFT (GGA-PBE) results for an optimized crystal structure of ZnAg2Cl.

* calculated volume: 19.30 Å³/atom
* E above lowest polymorph: 94 meV per atom

a b c (Å): 3.079 3.079 8.144
angles (deg): 90.00 90.00 90.00
Space group P4mm (No. 99)
One atom of each set of equivalent atoms:
Zn 0.000 0.000 0.000 x1
Ag 0.000 0.000 0.462 x1
Ag 0.500 0.500 0.223 x1
Cl 0.500 0.500 0.805 x1

=====

| no. | formation energy (no corrections) (eV/atom) | total energy (eV per cell) |
| --- | --- | --- |
| 1 | 0.158 | -54.31 |
| 2 | -0.063 | -9.08 |